{"formula": "Na8B13C3", "functional": "GGA-PBE", "state": "optimized geometry", "n_ef_per_ev_cell": 4.1, "polymorph_energy_ev_per_fu": 0.205, "energy_ev_per_cell": -120.463, "m_tot_mub_per_cell": 0.00, "e_form_ev_per_atom": 0.190, "lattice": [[8.672, 0.000, 0.000], [0.000, 2.851, 5.243], [0.000, -2.851, 5.243]], "species": ["Na", "Na", "Na", "Na", "Na", "Na", "Na", "Na", "B", "B", "B", "B", "B", "B", "B", "B", "B", "B", "B", "B", "B", "C", "C", "C"], "frac_coords": [[0.248, 0.000, 0.000], [0.249, 0.501, 0.501], [0.250, 0.001, 0.500], [0.250, 0.500, 0.001], [0.750, 0.001, 0.500], [0.750, 0.500, 0.001], [0.751, 0.501, 0.501], [0.752, 0.000, 0.000], [0.000, 0.175, 0.674], [0.000, 0.317, 0.317], [0.000, 0.340, 0.840], [0.000, 0.674, 0.175], [0.000, 0.817, 0.817], [0.000, 0.840, 0.340], [0.500, 0.175, 0.649], [0.500, 0.182, 0.182], [0.500, 0.321, 0.833], [0.500, 0.649, 0.175], [0.500, 0.674, 0.674], [0.500, 0.833, 0.321], [0.500, 0.836, 0.836], [0.000, 0.169, 0.169], [0.000, 0.669, 0.669], [0.500, 0.332, 0.332]]}